Record 1
Here is PmTl2AgCl6 after structural relaxation from the Alexandria database. Energies are from GGA-PBE.

For the density of states at the Fermi level, the calculation gives 0.00 states/eV per atom. The uncorrected formation energy comes out at -1.42 eV per atom. The calculated density comes out at 4.79 g/cm³. As for the calculated total energy: -3.76 eV/atom. The value obtained for the total moment is 0.0 μB per formula unit.

The structure belongs to space group P2_1/c (No. 14); the cell edges are 7.428, 7.799 and 12.748 Å and the angles 90.00°, 124.89° and 90.00°. The asymmetric unit holds Pm at (0.000, 0.000, 0.000), Tl at (0.275, 0.070, 0.753), Ag at (0.500, 0.000, 0.500), Cl at (0.155, 0.024, 0.252), Cl at (0.240, 0.709, 0.049) and Cl at (0.345, 0.193, 0.047).

Record 2
Here is RbNb2TeO8 after structural relaxation from the Alexandria database. Energies are from GGA-PBE.

For the density of states at the Fermi level, the calculation gives 0.19 states/eV per atom. The uncorrected formation energy comes out at -1.90 eV per atom. The calculated density comes out at 4.46 g/cm³. As for the calculated total energy: -7.23 eV/atom. The value obtained for the total moment is 0.0 μB per formula unit.

The structure belongs to space group C2/m (No. 12); the cell edges are 8.723, 6.323 and 7.452 Å and the angles 90.00°, 107.37° and 90.00°. The asymmetric unit holds Rb at (0.000, 0.000, 0.000), Nb at (0.062, 0.500, 0.230), Te at (0.000, 0.000, 0.500), O at (0.015, 0.236, 0.699), O at (0.149, 0.500, 0.027) and O at (0.242, 0.000, 0.566).

Record 3
Here is Hg3BiPt after structural relaxation from the Alexandria database. Energies are from GGA-PBE.

For the density of states at the Fermi level, the calculation gives 1.65 states/eV per atom. The formation energy comes out at 0.930 eV/atom. The calculated density comes out at 8.87 g/cm³. As for the calculated total energy: -1.23 eV/atom. The relative energy among the computed polymorphs is 0.694 eV/atom. The value obtained for the total moment is 0.0 μB per formula unit.

The structure belongs to space group Pm-3m (No. 221); the cell edges are 5.732, 5.732 and 5.732 Å and the angles 90.00°, 90.00° and 90.00°. The asymmetric unit holds Hg at (0.000, 0.000, 0.500), Bi at (0.000, 0.000, 0.000) and Pt at (0.500, 0.500, 0.500).

Record 4
Here is Nd4Tm10Th after structural relaxation from the Alexandria database. Energies are from GGA-PBE.

For the density of states at the Fermi level, the calculation gives 1.16 states/eV per atom. The formation energy comes out at 0.258 eV/atom. The calculated density comes out at 8.30 g/cm³. As for the calculated total energy: -4.49 eV/atom. The value obtained for the total moment is 0.0 μB per formula unit.

The structure belongs to space group I4/mmm (No. 139); the cell edges are 11.172, 11.172 and 8.010 Å and the angles 90.00°, 90.00° and 90.00°. The asymmetric unit holds Nd at (0.225, 0.225, 0.000), Tm at (0.000, 0.206, 0.297), Tm at (0.000, 0.500, 0.250) and Th at (0.000, 0.000, 0.000).

Record 5
Here is Cs2K5Rb4 after structural relaxation from the Alexandria database. Energies are from GGA-PBE.

For the density of states at the Fermi level, the calculation gives 0.88 states/eV per atom. The formation energy comes out at 0.022 eV/atom. The calculated density comes out at 1.39 g/cm³. As for the calculated total energy: -0.98 eV/atom. The relative energy among the computed polymorphs is 0.000 eV/atom. The value obtained for the total moment is 0.0 μB per formula unit.

The structure belongs to space group C2/m (No. 12); the cell edges are 33.031, 4.750 and 12.198 Å and the angles 90.00°, 91.84° and 90.00°. The asymmetric unit holds Cs at (0.223, 0.000, 0.316), K at (0.000, 0.000, 0.500), K at (0.091, 0.500, 0.227), K at (0.131, 0.500, 0.581), Rb at (0.044, 0.500, 0.853) and Rb at (0.175, 0.000, 0.934).

Record 6
Here is LiCe3Sm2Te6 after structural relaxation from the Alexandria database. Energies are from GGA-PBE.

For the density of states at the Fermi level, the calculation gives 1.90 states/eV per atom. The uncorrected formation energy comes out at -1.35 eV per atom. The calculated density comes out at 6.63 g/cm³. As for the calculated total energy: -5.35 eV/atom. The value obtained for the total moment is 3.5 μB per formula unit.

The structure belongs to space group C2/m (No. 12); the cell edges are 19.425, 4.439 and 8.917 Å and the angles 90.00°, 103.47° and 90.00°. The asymmetric unit holds Li at (0.000, 0.000, 0.000), Ce at (0.000, 0.000, 0.500), Ce at (0.168, 0.500, 0.835), Sm at (0.168, 0.500, 0.338), Te at (0.001, 0.500, 0.238), Te at (0.161, 0.000, 0.085) and Te at (0.167, 0.000, 0.583).

What is the calculated density in the sixth record?
6.63 g/cm³